Th4S | PBE | optimized geometry

Lattice parameters (Å, degrees): 5.432 5.432 5.432 90.00 90.00 90.00
Atoms (fractional coordinates):
Th  0.000  0.000  0.000
Th  0.000  0.500  0.500
Th  0.500  0.000  0.500
Th  0.500  0.500  0.000
S  0.500  0.500  0.500

Values from the calculation:
**Total magnetization**: 0.000 μB/atom
**DOS at the Fermi energy**: 0.92 states/eV per atom
**E_tot**: -36.48 eV/f.u.